[1]
The following is a DFT calculation (GGA-PBE) of a relaxed structure of AlRhW2.

Lattice parameters (Å, degrees): 3.189 3.189 6.041 90.00 90.00 90.00
Space group P4mm (No. 99)
Unique sites:
Al: 0.000 0.000 0.000 x1
Rh: 0.500 0.500 0.225 x1
W: 0.000 0.000 0.510 x1
W: 0.500 0.500 0.737 x1

Calculated values
Total magnetic moment in μB per cell: 0.00
Formation energy in eV/atom: -0.17

---

[2]
The following is a DFT calculation (GGA-PBE) of a relaxed structure of AlRh2W.

Lattice parameters (Å, degrees): 2.8038 2.8038 26.1795 90.00 90.00 120.00
Space group R3m (No. 160, hexagonal axes)
Unique sites:
Al: 0.0000 0.0000 0.0000 x3
Rh: 0.0000 0.0000 0.4985 x3
Rh: 0.0000 0.0000 0.7421 x3
W: 0.0000 0.0000 0.2456 x3

Calculated values
Total magnetic moment in μB per cell: 0.70
Formation energy in eV/atom: -0.22

---

[3]
The following is a DFT calculation (GGA-PBE) of a relaxed structure of AlRh2W.

Lattice parameters (Å, degrees): 2.813 3.717 5.589 90.00 90.17 90.00
Space group P2/m (No. 10)
Unique sites:
Al: 0.000 0.000 0.000 x1
Rh: 0.498 0.500 0.750 x2
W: 0.000 0.000 0.500 x1

Calculated values
Total magnetic moment in μB per cell: 0.00
Formation energy in eV/atom: -0.44

---

[4]
The following is a DFT calculation (GGA-PBE) of a relaxed structure of AlRhW4.

Lattice parameters (Å, degrees): 7.407 7.407 7.407 90.00 90.00 90.00
Space group F-43m (No. 216)
Unique sites:
Al: 0.000 0.000 0.000 x4
Rh: 0.250 0.250 0.750 x4
W: 0.126 0.126 0.374 x16

Calculated values
Total magnetic moment in μB per cell: 0.00
Formation energy in eV/atom: 0.44

---

[5]
The following is a DFT calculation (GGA-PBE) of a relaxed structure of AlRhW.

Lattice parameters (Å, degrees): 2.8307 2.8307 6.5092 90.00 90.00 120.00
Space group P3m1 (No. 156)
Unique sites:
Al: 0.0000 0.0000 0.0000 x1
Rh: 0.6667 0.3333 0.3170 x1
W: 0.3333 0.6667 0.6493 x1

Calculated values
Total magnetic moment in μB per cell: 0.00
Formation energy in eV/atom: -0.19

---

[6]
The following is a DFT calculation (GGA-PBE) of a relaxed structure of AlRh2W.

Lattice parameters (Å, degrees): 2.869 2.869 7.080 90.00 90.00 90.00
Space group P4mm (No. 99)
Unique sites:
Al: 0.000 0.000 0.000 x1
Rh: 0.000 0.000 0.487 x1
Rh: 0.500 0.500 0.205 x1
W: 0.500 0.500 0.735 x1

Calculated values
Total magnetic moment in μB per cell: 0.00
Formation energy in eV/atom: -0.32

---

[7]
The following is a DFT calculation (GGA-PBE) of a relaxed structure of AlRh2W.

Lattice parameters (Å, degrees): 2.809 4.479 4.660 90.00 90.00 90.00
Space group Pmm2 (No. 25)
Unique sites:
Al: 0.000 0.000 0.000 x1
Rh: 0.500 0.000 0.528 x1
Rh: 0.500 0.500 0.918 x1
W: 0.000 0.500 0.398 x1

Calculated values
Total magnetic moment in μB per cell: 0.00
Formation energy in eV/atom: -0.40

---

[8]
The following is a DFT calculation (GGA-PBE) of a relaxed structure of AlRhW2.

Lattice parameters (Å, degrees): 3.690 3.690 19.413 90.00 90.00 90.00
Space group I-42d (No. 122)
Unique sites:
Al: 0.000 0.000 0.000 x4
Rh: 0.000 0.000 0.500 x4
W: 0.238 0.250 0.125 x8

Calculated values
Total magnetic moment in μB per cell: 0.00
Formation energy in eV/atom: 0.39

---

[9]
The following is a DFT calculation (GGA-PBE) of a relaxed structure of AlRhW2.

Lattice parameters (Å, degrees): 2.764 4.367 5.088 90.00 96.43 90.00
Space group Pm (No. 6)
Unique sites:
Al: 0.000 0.000 0.000 x1
Rh: 0.959 0.500 0.250 x1
W: 0.390 0.500 0.768 x1
W: 0.581 0.000 0.503 x1

Calculated values
Total magnetic moment in μB per cell: 0.00
Formation energy in eV/atom: -0.15

---

[10]
The following is a DFT calculation (GGA-PBE) of a relaxed structure of AlRhW2.

Lattice parameters (Å, degrees): 5.213 8.535 2.741 90.00 90.00 90.00
Space group Cmmm (No. 65)
Unique sites:
Al: 0.000 0.000 0.000 x2
Rh: 0.000 0.500 0.000 x2
W: 0.250 0.250 0.500 x4

Calculated values
Total magnetic moment in μB per cell: 0.00
Formation energy in eV/atom: -0.08

---

[11]
The following is a DFT calculation (GGA-PBE) of a relaxed structure of AlRh2W.

Lattice parameters (Å, degrees): 3.996 3.996 3.680 90.00 90.00 90.00
Space group P4/mmm (No. 123)
Unique sites:
Al: 0.000 0.000 0.000 x1
Rh: 0.000 0.500 0.500 x2
W: 0.500 0.500 0.000 x1

Calculated values
Total magnetic moment in μB per cell: 0.00
Formation energy in eV/atom: -0.22

---

[12]
The following is a DFT calculation (GGA-PBE) of a relaxed structure of AlRhW2.

Lattice parameters (Å, degrees): 2.8169 2.8169 26.9192 90.00 90.00 120.00
Space group R3m (No. 160, hexagonal axes)
Unique sites:
Al: 0.0000 0.0000 0.0000 x3
Rh: 0.0000 0.0000 0.7436 x3
W: 0.0000 0.0000 0.2479 x3
W: 0.0000 0.0000 0.4912 x3

Calculated values
Total magnetic moment in μB per cell: 0.00
Formation energy in eV/atom: -0.05